# 1
DFT (GGA-PBE) results for TeRu2Au after structural relaxation.

- formation energy from raw total energies (eV/atom) = 0.38
- total DFT energy (no corrections) (eV per atom) = -5.863
- theoretical density (Mg/m³) = 12.98
- M_tot (μB/f.u.) = 0.000

Cell lengths 3.193, 3.193, 6.605 Å; angles 90.00, 90.00, 90.00 degrees
Atoms (fractional coordinates):
Te (0.000, 0.000, 0.000)
Ru (0.500, 0.500, 0.230)
Ru (0.500, 0.500, 0.770)
Au (0.000, 0.000, 0.500)



# 2
DFT (GGA-PBE) results for Te2RuAu after structural relaxation.

- formation energy from raw total energies (eV/atom) = 0.09
- total DFT energy (no corrections) (eV per atom) = -4.614
- theoretical density (Mg/m³) = 10.14
- M_tot (μB/f.u.) = 0.000

Cell lengths 7.601, 7.601, 7.601 Å; angles 28.87, 28.87, 28.87 degrees
Atoms (fractional coordinates):
Te (0.238, 0.238, 0.238)
Te (0.762, 0.762, 0.762)
Ru (0.500, 0.500, 0.500)
Au (0.000, 0.000, 0.000)